1.
Below is crystalline TaMnTc2C at its relaxed geometry, with properties calculated at the PBE level.

The structure in POSCAR format:
```
TaMnTc2C
1.0
4.120 0.000 0.000
0.000 4.120 0.000
0.000 0.000 3.839
C Mn Tc Ta
1 1 2 1
Cartesian
0.000 0.000 0.000
0.000 0.000 1.920
0.000 2.060 0.000
2.060 0.000 0.000
2.060 2.060 1.920
```

Calculated values
* DOS at the Fermi energy: 0.603 states/eV per atom
* formation energy: -0.14 eV per atom
* density: 11.312 g/cm³

=====

2.
Below is crystalline TaMn2TcC at its relaxed geometry, with properties calculated at the PBE level.

The structure in POSCAR format:
```
TaMn2TcC
1.0
3.858 0.000 0.000
0.000 3.858 0.000
0.000 0.000 4.090
C Mn Tc Ta
1 2 1 1
Cartesian
0.000 0.000 0.000
0.000 1.929 0.000
1.929 0.000 0.000
0.000 0.000 2.045
1.929 1.929 2.045
```

Calculated values
* DOS at the Fermi energy: 0.739 states/eV per atom
* formation energy: -0.12 eV per atom
* density: 10.934 g/cm³

=====

3.
Below is crystalline TaMnTe2C at its relaxed geometry, with properties calculated at the PBE level.

The structure in POSCAR format:
```
TaMnTe2C
1.0
-0.319 5.518 -0.292
-3.904 -0.172 1.013
1.372 0.363 5.349
C Te Mn Ta
1 2 1 1
Cartesian
-1.952 -0.086 0.507
0.686 0.181 2.675
-0.160 2.759 -0.146
-1.426 2.854 3.035
0.000 0.000 0.000
```

Calculated values
* DOS at the Fermi energy: 0.709 states/eV per atom
* uncorrected formation energy: 0.88 eV per atom
* density: 6.756 g/cm³

=====

4.
Below is crystalline ThTa2MnC4 at its relaxed geometry, with properties calculated at the PBE level.

The structure in POSCAR format:
```
ThTa2MnC4
1.0
-2.577 -1.771 1.003
3.009 -3.410 -3.667
5.833 -3.784 8.305
Th Ta Mn C
2 4 2 8
Cartesian
4.711 -3.677 5.611
1.555 -5.288 0.030
4.453 -5.247 2.174
-0.584 -2.164 0.054
1.813 -3.718 3.466
6.850 -6.802 5.586
4.236 -6.591 4.617
2.030 -2.374 1.024
1.585 -2.708 -0.711
3.115 -5.242 4.122
4.681 -6.258 6.352
3.150 -3.724 1.518
2.917 -1.892 4.153
0.000 0.000 0.000
5.823 -6.453 3.565
0.443 -2.513 2.076
```

Calculated values
* DOS at the Fermi energy: 0.574 states/eV per atom
* formation energy: -0.39 eV per atom
* density: 11.606 g/cm³